Entry 1:
A plane-wave DFT calculation with PBEsol was carried out for an optimized crystal structure of ReBrO3.

abc: 3.894 3.894 3.894
angles: 90.00 90.00 90.00
Atoms (fractional coordinates):
1 Re 0.000 0.000 0.000
2 Br 0.500 0.500 0.500
3 O 0.000 0.000 0.500
4 O 0.000 0.500 0.000
5 O 0.500 0.000 0.000

## Properties
For the magnetization, the calculation gives 0.00 μB/f.u. The space group is Pm-3m. As for the volume: 59.0 Å³/cell. The calculation puts the density at 8.834 g/cm3. The value obtained for the formation energy from raw total energies is -691 meV per atom.

Entry 2:
A plane-wave DFT calculation with PBEsol was carried out for an optimized crystal structure of TaCo4Rh.

abc: 4.651 4.651 4.651
angles: 60.00 60.00 60.00
Atoms (fractional coordinates):
1 Ta 0.000 0.000 0.000
2 Co 0.376 0.376 0.376
3 Co 0.376 0.376 0.873
4 Co 0.376 0.873 0.376
5 Co 0.873 0.376 0.376
6 Rh 0.750 0.750 0.750

## Properties
For the magnetization, the calculation gives 5.41 μB/f.u. The space group is F-43m. As for the volume: 71.1 Å³/cell. The formation energy comes out at -0.19 eV per atom. The calculation puts the density at 12.129 g/cm3.

Entry 3:
A plane-wave DFT calculation with PBEsol was carried out for an optimized crystal structure of ReIrRh.

abc: 2.707 2.707 6.647
angles: 90.00 90.00 120.00
Atoms (fractional coordinates):
1 Re 0.000 0.000 0.000
2 Ir 0.333 0.667 0.328
3 Rh 0.667 0.333 0.672

## Properties
For the magnetization, the calculation gives 0.00 μB/f.u. The space group is P3m1. As for the volume: 42.2 Å³/cell. The formation energy comes out at -0.10 eV per atom. The calculation puts the density at 18.942 g/cm3.

no.,DOS(E_F) (states/eV/f.u.)
1,4.55
2,10.06
3,2.70